# 1
VASP calculation (PBE) on a relaxed structure of Na3Ac2TcO6.

Lattice parameters (Å, degrees): 6.068 6.068 6.034 99.22 99.22 118.51
Sites, in units of the cell vectors:
Na 0.000 0.000 0.000
Na 0.358 0.642 0.000
Na 0.642 0.358 0.000
Ac 0.175 0.825 0.500
Ac 0.825 0.175 0.500
Tc 0.500 0.500 0.500
O 0.125 0.415 0.271
O 0.280 0.280 0.702
O 0.415 0.125 0.271
O 0.585 0.875 0.729
O 0.720 0.720 0.298
O 0.875 0.585 0.729

Values from the calculation:
E_form (uncorrected) (meV/atom): -2026.3



# 2
VASP calculation (PBE) on a relaxed structure of Na2AcTc2O7.

Lattice parameters (Å, degrees): 10.354 10.354 10.354 157.65 157.60 31.85
Sites, in units of the cell vectors:
Na 0.249 0.249 0.000
Na 0.751 0.751 0.000
Ac 0.000 0.500 0.500
Tc 0.395 0.895 0.500
Tc 0.605 0.105 0.500
O 0.093 0.093 0.000
O 0.300 0.800 0.500
O 0.406 0.406 0.000
O 0.500 0.000 0.500
O 0.594 0.594 0.000
O 0.700 0.200 0.500
O 0.907 0.907 0.000

Values from the calculation:
E_form (uncorrected) (meV/atom): -1859.0



# 3
VASP calculation (PBE) on a relaxed structure of Na2Ac2TcO6.

Lattice parameters (Å, degrees): 6.236 6.236 5.898 95.77 95.77 119.74
Sites, in units of the cell vectors:
Na 0.126 0.874 0.000
Na 0.874 0.126 0.000
Ac 0.338 0.662 0.500
Ac 0.662 0.338 0.500
Tc 0.000 0.000 0.500
O 0.028 0.322 0.687
O 0.230 0.230 0.294
O 0.322 0.028 0.687
O 0.678 0.972 0.313
O 0.770 0.770 0.706
O 0.972 0.678 0.313

Values from the calculation:
E_form (uncorrected) (meV/atom): -2196.8



# 4
VASP calculation (PBE) on a relaxed structure of Na2AcTcO6.

Lattice parameters (Å, degrees): 5.716 6.037 10.068 90.00 124.43 90.00
Sites, in units of the cell vectors:
Na 0.229 0.040 0.234
Na 0.229 0.460 0.734
Na 0.771 0.540 0.266
Na 0.771 0.960 0.766
Ac 0.000 0.000 0.500
Ac 0.000 0.500 0.000
Tc 0.500 0.000 0.000
Tc 0.500 0.500 0.500
O 0.181 0.159 0.961
O 0.181 0.341 0.461
O 0.275 0.736 0.924
O 0.275 0.764 0.424
O 0.391 0.068 0.786
O 0.391 0.432 0.286
O 0.609 0.568 0.714
O 0.609 0.932 0.214
O 0.725 0.236 0.576
O 0.725 0.264 0.076
O 0.819 0.659 0.539
O 0.819 0.841 0.039

Values from the calculation:
E_form (uncorrected) (meV/atom): -1919.1